[1]
VASP calculation (PBE) on Na2Pu2Cl5 after structural relaxation.

Summary:
- uncorrected formation energy (meV per atom) = -1479

abc: 17.6942 7.5966 7.6069
angles: 90.00 90.00 90.00
Space group Ima2 (No. 46)
One atom of each set of equivalent atoms:
Na: 0.0000 0.0000 0.0000 (multiplicity 4)
Na: 0.2500 0.0394 0.1046 (multiplicity 4)
Pu: 0.0995 0.5080 0.0611 (multiplicity 8)
Cl: 0.0774 0.1910 0.2511 (multiplicity 8)
Cl: 0.1367 0.6581 0.4033 (multiplicity 8)
Cl: 0.2500 0.1176 0.4803 (multiplicity 4)

---

[2]
VASP calculation (PBE) on PuMgZn after structural relaxation.

Summary:
- energy relative to the elements (eV/atom) = 0.0880

abc: 3.3134 3.3134 9.9474
angles: 90.00 90.00 90.00
Space group P4/nmm (No. 129, origin choice 2)
One atom of each set of equivalent atoms:
Pu: 0.2500 0.2500 0.0414 (multiplicity 2)
Mg: 0.2500 0.2500 0.3976 (multiplicity 2)
Zn: 0.2500 0.2500 0.7511 (multiplicity 2)

---

[3]
VASP calculation (PBE) on BaHgOsSe2 after structural relaxation.

Summary:
- uncorrected formation energy (meV per atom) = 1345

abc: 6.2556 6.2556 6.4157
angles: 90.00 90.00 90.00
Space group P4/mmm (No. 123)
One atom of each set of equivalent atoms:
Ba: 0.0000 0.0000 0.0000 (multiplicity 1)
Hg: 0.5000 0.5000 0.5000 (multiplicity 1)
Os: 0.0000 0.0000 0.5000 (multiplicity 1)
Se: 0.0000 0.5000 0.0000 (multiplicity 2)

---

[4]
VASP calculation (PBE) on Cu4Se5 after structural relaxation.

Summary:
- offset from the most stable computed form (eV per formula unit) = 1.952
- uncorrected formation energy (meV per atom) = 381

abc: 9.6129 9.6129 3.4904
angles: 90.00 90.00 90.00
Space group I4/mmm (No. 139)
One atom of each set of equivalent atoms:
Cu: 0.0000 0.3666 0.0000 (multiplicity 8)
Se: 0.0000 0.0000 0.0000 (multiplicity 2)
Se: 0.1787 0.1787 0.5000 (multiplicity 8)

---

[5]
VASP calculation (PBE) on Sr2CoSbTe after structural relaxation.

Summary:
- uncorrected formation energy (meV per atom) = 364

abc: 6.2470 6.2470 5.8293
angles: 90.00 90.00 90.00
Space group P4/mmm (No. 123)
One atom of each set of equivalent atoms:
Sr: 0.0000 0.5000 0.0000 (multiplicity 2)
Co: 0.0000 0.0000 0.5000 (multiplicity 1)
Sb: 0.5000 0.5000 0.0000 (multiplicity 1)
Te: 0.5000 0.5000 0.5000 (multiplicity 1)

---

[6]
VASP calculation (PBE) on Pm3PrTm3 after structural relaxation.

Summary:
- offset from the most stable computed form (eV per formula unit) = 0.000
- energy relative to the elements (eV/atom) = 0.1943

abc: 8.6783 8.6783 22.0711
angles: 90.00 90.00 120.00
Space group R-3 (No. 148, hexagonal axes)
One atom of each set of equivalent atoms:
Pm: 0.0490 0.4480 0.3805 (multiplicity 18)
Pr: 0.0000 0.0000 0.1549 (multiplicity 6)
Tm: 0.0050 0.2296 0.5584 (multiplicity 18)

---

[7]
VASP calculation (PBE) on LaIrPt after structural relaxation.

Summary:
- offset from the most stable computed form (eV per formula unit) = 0.000
- energy relative to the elements (eV/atom) = -0.8967

abc: 5.4794 5.5218 7.8070
angles: 90.00 90.00 90.00
Space group Imma (No. 74)
One atom of each set of equivalent atoms:
La: 0.0000 0.2500 0.1268 (multiplicity 4)
Ir: 0.0000 0.0000 0.5000 (multiplicity 4)
Pt: 0.2500 0.2500 0.7500 (multiplicity 4)

---

[8]
VASP calculation (PBE) on TbCdB after structural relaxation.

Summary:
- energy relative to the elements (eV/atom) = -0.1791

abc: 9.2527 3.8178 7.0016
angles: 90.00 101.02 90.00
Space group C2/m (No. 12)
One atom of each set of equivalent atoms:
Tb: 0.1202 0.0000 0.3281 (multiplicity 4)
Cd: 0.1333 0.5000 0.9215 (multiplicity 4)
B: 0.0790 0.5000 0.5678 (multiplicity 4)

---

[9]
VASP calculation (PBE) on SrTi2Pb2 after structural relaxation.

Summary:
- offset from the most stable computed form (eV per formula unit) = 0.000
- energy relative to the elements (eV/atom) = -0.0706

abc: 4.5256 4.5256 13.2647
angles: 90.00 90.00 90.00
Space group I4/mmm (No. 139)
One atom of each set of equivalent atoms:
Sr: 0.0000 0.0000 0.0000 (multiplicity 2)
Ti: 0.0000 0.5000 0.2500 (multiplicity 4)
Pb: 0.0000 0.0000 0.3808 (multiplicity 4)

---

[10]
VASP calculation (PBE) on Tb2HoTl4 after structural relaxation.

Summary:
- offset from the most stable computed form (eV per formula unit) = 1.042
- energy relative to the elements (eV/atom) = -0.0762

abc: 4.8643 4.8643 30.5874
angles: 90.00 90.00 120.00
Space group R-3m (No. 166, hexagonal axes)
One atom of each set of equivalent atoms:
Tb: 0.0000 0.0000 0.1289 (multiplicity 6)
Ho: 0.0000 0.0000 0.0000 (multiplicity 3)
Tl: 0.0000 0.0000 0.2441 (multiplicity 6)
Tl: 0.0000 0.0000 0.3814 (multiplicity 6)

---

[11]
VASP calculation (PBE) on ZnCoTcRh after structural relaxation.

Summary:
- energy relative to the elements (eV/atom) = 0.0832

abc: 6.0213 6.0213 6.0213
angles: 90.00 90.00 90.00
Space group F-43m (No. 216)
One atom of each set of equivalent atoms:
Zn: 0.0000 0.0000 0.0000 (multiplicity 4)
Co: 0.2500 0.2500 0.2500 (multiplicity 4)
Tc: 0.0000 0.0000 0.5000 (multiplicity 4)
Rh: 0.2500 0.2500 0.7500 (multiplicity 4)

---

[12]
VASP calculation (PBE) on ScFePd2 after structural relaxation.

Summary:
- energy relative to the elements (eV/atom) = -0.5118

abc: 4.0188 4.0188 3.8400
angles: 90.00 90.00 90.00
Space group P4/mmm (No. 123)
One atom of each set of equivalent atoms:
Sc: 0.0000 0.0000 0.0000 (multiplicity 1)
Fe: 0.5000 0.5000 0.0000 (multiplicity 1)
Pd: 0.0000 0.5000 0.5000 (multiplicity 2)

---

In μB per formula unit, the magnetization values for the records above are, in order, 12.981; 0.000; 6.000; 0.000; 2.036; 0.000; 0.000; 0.000; 1.855; 0.002; 2.988; 2.689.
In states/eV/atom, the DOS(E_F) values for the records above are, in order, 3.027; 1.011; 0.891; 0.363; 0.544; 1.514; 0.664; 0.518; 0.958; 0.735; 0.798; 0.966.